No. 1
CrCoAgTe2 | Alexandria | PBE | relaxed; symmetry = P4/mmm; crystal system = tetragonal; ΔE_f (raw) = 1.00 eV per atom
1.0
-1.344 -1.385 4.732
-0.279 -4.811 -1.487
4.923 -0.658 1.205
Te Ag Co Cr
2 1 1 1
direct
0.000 0.000 0.500
0.500 0.000 0.000
0.000 0.500 0.000
0.500 0.500 0.500
0.000 0.000 0.000



No. 2
Cs3CoAg | Alexandria | PBE | relaxed; symmetry = Pm-3m; crystal system = cubic; total DFT energy (no corrections) = -1.827 eV/atom
1.0
6.611 0.000 0.000
0.000 6.611 0.000
0.000 0.000 6.611
Cs Ag Co
3 1 1
direct
0.000 0.000 0.500
0.000 0.500 0.000
0.500 0.000 0.000
0.500 0.500 0.500
0.000 0.000 0.000



No. 3
CsCo3Ag | Alexandria | PBE | relaxed; symmetry = Pm-3m; crystal system = cubic; total DFT energy (no corrections) = -3.473 eV/atom
1.0
4.995 0.000 0.000
0.000 4.995 0.000
0.000 0.000 4.995
Co Ag Cs
3 1 1
direct
0.000 0.000 0.500
0.000 0.500 0.000
0.500 0.000 0.000
0.000 0.000 0.000
0.500 0.500 0.500